1.
# Ce2DyRu3

A geometry-optimized Ce2DyRu3 structure (PBE-GGA, Alexandria).

a b c (Å): 15.4658 5.6811 5.9249
angles (deg): 90.00 110.10 90.00
Space group C2/c (No. 15)
Asymmetric unit:
1 Ce 0.1743 0.0857 0.1058 x8
2 Dy 0.0000 0.3414 0.2500 x4
3 Ru 0.0000 0.1461 0.7500 x4
4 Ru 0.1630 0.4339 0.6447 x8

Values from the calculation:
E_tot = -7.645 eV/atom
ΔH_f (0 K) = -25 kJ per mole of atoms
total magnetic moment = 0.0 μB per formula unit
excess energy over the best structure of this formula in the dataset = 0.078 eV per atom

2.
# VFe2Tc

A geometry-optimized VFe2Tc structure (PBE-GGA, Alexandria).

a b c (Å): 3.4484 3.4484 18.3827
angles (deg): 90.00 90.00 90.00
Space group I-42d (No. 122)
Asymmetric unit:
1 V 0.0000 0.0000 0.0000 x4
2 Fe 0.2461 0.2500 0.1250 x8
3 Tc 0.0000 0.0000 0.5000 x4

Values from the calculation:
E_tot = -8.622 eV/atom
ΔH_f (0 K) = 46 kJ per mole of atoms
total magnetic moment = 4.4 μB per formula unit
excess energy over the best structure of this formula in the dataset = 0.484 eV per atom

3.
# Ca3Ac2Ga4

A geometry-optimized Ca3Ac2Ga4 structure (PBE-GGA, Alexandria).

a b c (Å): 8.3844 8.4307 7.9537
angles (deg): 90.00 107.38 90.00
Space group P2_1/c (No. 14)
Asymmetric unit:
1 Ca 0.0000 0.0000 0.0000 x2
2 Ca 0.2570 0.1858 0.7521 x4
3 Ac 0.3070 0.6779 0.9188 x4
4 Ga 0.0060 0.6092 0.1137 x4
5 Ga 0.4269 0.0263 0.1244 x4

Values from the calculation:
E_tot = -3.373 eV/atom
ΔH_f (0 K) = -43 kJ per mole of atoms
total magnetic moment = 0.0 μB per formula unit
excess energy over the best structure of this formula in the dataset = 0.000 eV per atom

4.
# NaTbIn2

A geometry-optimized NaTbIn2 structure (PBE-GGA, Alexandria).

a b c (Å): 7.4938 7.4938 7.4938
angles (deg): 90.00 90.00 90.00
Space group Fm-3m (No. 225)
Asymmetric unit:
1 Na 0.0000 0.0000 0.0000 x4
2 Tb 0.0000 0.0000 0.5000 x4
3 In 0.2500 0.2500 0.2500 x8

Values from the calculation:
E_tot = -3.135 eV/atom
ΔH_f (0 K) = -27 kJ per mole of atoms
total magnetic moment = 0.0 μB per formula unit
excess energy over the best structure of this formula in the dataset = 0.031 eV per atom

5.
# SrSi2As

A geometry-optimized SrSi2As structure (PBE-GGA, Alexandria).

a b c (Å): 7.5536 7.5536 6.9012
angles (deg): 90.00 90.00 90.00
Space group I-42d (No. 122)
Asymmetric unit:
1 Sr 0.0000 0.0000 0.0000 x4
2 Si 0.1753 0.7500 0.6250 x8
3 As 0.0000 0.0000 0.5000 x4

Values from the calculation:
E_tot = -4.292 eV/atom
total magnetic moment = 0.0 μB per formula unit
formation energy (no corrections) = 2.3 meV per atom

6.
# As2IrF

A geometry-optimized As2IrF structure (PBE-GGA, Alexandria).

a b c (Å): 5.5219 5.5219 11.3143
angles (deg): 90.00 90.00 90.00
Space group I-42d (No. 122)
Asymmetric unit:
1 As 0.2317 0.2500 0.1250 x8
2 Ir 0.0000 0.0000 0.0000 x4
3 F 0.0000 0.0000 0.5000 x4

Values from the calculation:
E_tot = -5.335 eV/atom
total magnetic moment = 0.0 μB per formula unit
excess energy over the best structure of this formula in the dataset = 0.126 eV per atom
formation energy (no corrections) = -327.1 meV per atom

7.
# YTl4As

A geometry-optimized YTl4As structure (PBE-GGA, Alexandria).

a b c (Å): 8.8195 8.8195 8.8195
angles (deg): 90.00 90.00 90.00
Space group F-43m (No. 216)
Asymmetric unit:
1 Y 0.0000 0.0000 0.0000 x4
2 Tl 0.1248 0.1248 0.3752 x16
3 As 0.2500 0.2500 0.7500 x4

Values from the calculation:
E_tot = -3.239 eV/atom
ΔH_f (0 K) = 18 kJ per mole of atoms
total magnetic moment = 0.0 μB per formula unit

8.
# Sr2TaMo

A geometry-optimized Sr2TaMo structure (PBE-GGA, Alexandria).

a b c (Å): 4.1756 4.1756 11.0549
angles (deg): 90.00 90.00 90.00
Space group I4/mmm (No. 139)
Asymmetric unit:
1 Sr 0.0000 0.5000 0.2500 x4
2 Ta 0.0000 0.0000 0.0000 x2
3 Mo 0.0000 0.0000 0.5000 x2

Values from the calculation:
E_tot = -5.356 eV/atom
ΔH_f (0 K) = 112 kJ per mole of atoms
total magnetic moment = 0.0 μB per formula unit
excess energy over the best structure of this formula in the dataset = 0.683 eV per atom

9.
# SrFeI

A geometry-optimized SrFeI structure (PBE-GGA, Alexandria).

a b c (Å): 4.1028 6.3167 7.7433
angles (deg): 84.22 74.70 71.14
Space group P-1 (No. 2)
Asymmetric unit:
1 Sr 0.0455 0.1989 0.2099 x2
2 Fe 0.3876 0.6304 0.0960 x2
3 I 0.2999 0.2617 0.6365 x2

Values from the calculation:
E_tot = -4.063 eV/atom
total magnetic moment = 2.6 μB per formula unit
formation energy (no corrections) = -164.7 meV per atom

10.
# YTcNi

A geometry-optimized YTcNi structure (PBE-GGA, Alexandria).

a b c (Å): 6.1981 6.1981 6.1981
angles (deg): 90.00 90.00 90.00
Space group F-43m (No. 216)
Asymmetric unit:
1 Y 0.0000 0.0000 0.0000 x4
2 Tc 0.0000 0.0000 0.5000 x4
3 Ni 0.2500 0.2500 0.7500 x4

Values from the calculation:
E_tot = -7.163 eV/atom
ΔH_f (0 K) = 36 kJ per mole of atoms
total magnetic moment = 2.3 μB per formula unit
excess energy over the best structure of this formula in the dataset = 0.473 eV per atom

11.
# Ba2TlGe2

A geometry-optimized Ba2TlGe2 structure (PBE-GGA, Alexandria).

a b c (Å): 3.9141 3.9141 21.4882
angles (deg): 90.00 90.00 90.00
Space group I4/mmm (No. 139)
Asymmetric unit:
1 Ba 0.0000 0.0000 0.1150 x4
2 Tl 0.0000 0.0000 0.5000 x2
3 Ge 0.0000 0.5000 0.2500 x4

Values from the calculation:
E_tot = -3.324 eV/atom
ΔH_f (0 K) = -23 kJ per mole of atoms
total magnetic moment = 0.0 μB per formula unit

12.
# ZrInSe2

A geometry-optimized ZrInSe2 structure (PBE-GGA, Alexandria).

a b c (Å): 7.6056 3.7304 7.6260
angles (deg): 90.00 115.93 90.00
Space group P2_1/m (No. 11)
Asymmetric unit:
1 Zr 0.0830 0.2500 0.2656 x2
2 In 0.4591 0.7500 0.3194 x2
3 Se 0.1849 0.2500 0.9520 x2
4 Se 0.1965 0.7500 0.5703 x2

Values from the calculation:
E_tot = -5.381 eV/atom
total magnetic moment = 0.0 μB per formula unit
formation energy (no corrections) = -816.7 meV per atom

13.
# MnBe2Ru2

A geometry-optimized MnBe2Ru2 structure (PBE-GGA, Alexandria).

a b c (Å): 6.3531 6.3531 2.8668
angles (deg): 90.00 90.00 90.00
Space group P4/mbm (No. 127)
Asymmetric unit:
1 Mn 0.0000 0.0000 0.0000 x2
2 Be 0.1485 0.3515 0.5000 x4
3 Ru 0.1492 0.6492 0.0000 x4

Values from the calculation:
E_tot = -6.838 eV/atom
ΔH_f (0 K) = 19 kJ per mole of atoms
total magnetic moment = 0.0 μB per formula unit
excess energy over the best structure of this formula in the dataset = 0.371 eV per atom

14.
# LaFeSb2I

A geometry-optimized LaFeSb2I structure (PBE-GGA, Alexandria).

a b c (Å): 4.8443 4.8443 5.9475
angles (deg): 90.00 90.00 90.00
Space group P4/mmm (No. 123)
Asymmetric unit:
1 La 0.0000 0.0000 0.0000 x1
2 Fe 0.0000 0.0000 0.5000 x1
3 Sb 0.0000 0.5000 0.5000 x2
4 I 0.5000 0.5000 0.0000 x1

Values from the calculation:
E_tot = -4.999 eV/atom
total magnetic moment = 1.0 μB per formula unit
excess energy over the best structure of this formula in the dataset = 0.000 eV per atom
formation energy (no corrections) = -361.8 meV per atom

15.
# NdReO4F2

A geometry-optimized NdReO4F2 structure (PBE-GGA, Alexandria).

a b c (Å): 4.7058 5.3110 5.6906
angles (deg): 86.50 71.98 71.02
Space group P1 (No. 1)
Asymmetric unit:
1 Nd 0.0000 0.0000 0.0000 x1
2 Re 0.8560 0.5320 0.5523 x1
3 O 0.0812 0.6517 0.2868 x1
4 O 0.4650 0.7423 0.6397 x1
5 O 0.9290 0.1865 0.6155 x1
6 O 0.9752 0.6126 0.7929 x1
7 F 0.4583 0.0425 0.0454 x1
8 F 0.7344 0.3688 0.2578 x1

Values from the calculation:
E_tot = -7.648 eV/atom
total magnetic moment = 0.0 μB per formula unit
formation energy (no corrections) = -2548.8 meV per atom

16.
# RbMg2ReW

A geometry-optimized RbMg2ReW structure (PBE-GGA, Alexandria).

a b c (Å): 4.7685 4.7685 4.8278
angles (deg): 90.00 90.00 90.00
Space group P4/mmm (No. 123)
Asymmetric unit:
1 Rb 0.0000 0.0000 0.0000 x1
2 Mg 0.0000 0.5000 0.0000 x2
3 Re 0.0000 0.0000 0.5000 x1
4 W 0.5000 0.5000 0.5000 x1

Values from the calculation:
E_tot = -2.862 eV/atom
ΔH_f (0 K) = 294 kJ per mole of atoms
total magnetic moment = 0.0 μB per formula unit

17.
# TiPb

A geometry-optimized TiPb structure (PBE-GGA, Alexandria).

a b c (Å): 4.8642 4.8642 5.5855
angles (deg): 90.00 90.00 120.00
Space group P6_3/mmc (No. 194)
Asymmetric unit:
1 Ti 0.3333 0.6667 0.2500 x2
2 Pb 0.3333 0.6667 0.7500 x2

Values from the calculation:
E_tot = -5.312 eV/atom
ΔH_f (0 K) = 47 kJ per mole of atoms
total magnetic moment = 0.0 μB per formula unit

18.
# Tl2HgP2S6

A geometry-optimized Tl2HgP2S6 structure (PBE-GGA, Alexandria).

a b c (Å): 6.8716 6.8716 30.0904
angles (deg): 90.00 90.00 120.00
Space group R-3m (No. 166, hexagonal axes)
Asymmetric unit:
1 Tl 0.0000 0.0000 0.2099 x6
2 Hg 0.0000 0.0000 0.0000 x3
3 P 0.0000 0.0000 0.4385 x6
4 S 0.0044 0.5022 0.2293 x18

Values from the calculation:
E_tot = -3.901 eV/atom
total magnetic moment = 0.0 μB per formula unit
formation energy (no corrections) = -208.8 meV per atom

19.
# LaMnOs4

A geometry-optimized LaMnOs4 structure (PBE-GGA, Alexandria).

a b c (Å): 7.5483 7.5483 7.5483
angles (deg): 90.00 90.00 90.00
Space group F-43m (No. 216)
Asymmetric unit:
1 La 0.0000 0.0000 0.0000 x4
2 Mn 0.2500 0.2500 0.7500 x4
3 Os 0.1242 0.1242 0.3758 x16

Values from the calculation:
E_tot = -9.504 eV/atom
ΔH_f (0 K) = 32 kJ per mole of atoms
total magnetic moment = 3.3 μB per formula unit

20.
# Ac3Pb2Se

A geometry-optimized Ac3Pb2Se structure (PBE-GGA, Alexandria).

a b c (Å): 4.6787 6.7242 14.4331
angles (deg): 90.00 90.00 90.00
Space group Immm (No. 71)
Asymmetric unit:
1 Ac 0.0000 0.0000 0.0000 x2
2 Ac 0.0000 0.0000 0.3433 x4
3 Pb 0.0000 0.5000 0.3317 x4
4 Se 0.0000 0.5000 0.0000 x2

Values from the calculation:
E_tot = -4.820 eV/atom
total magnetic moment = 0.0 μB per formula unit
formation energy (no corrections) = -948.7 meV per atom

21.
# DyGeO2

A geometry-optimized DyGeO2 structure (PBE-GGA, Alexandria).

a b c (Å): 3.4349 3.4349 19.5796
angles (deg): 90.00 90.00 120.00
Space group R-3m (No. 166, hexagonal axes)
Asymmetric unit:
1 Dy 0.0000 0.0000 0.0000 x3
2 Ge 0.0000 0.0000 0.5000 x3
3 O 0.0000 0.0000 0.1119 x6

Values from the calculation:
E_tot = -6.016 eV/atom
total magnetic moment = 0.0 μB per formula unit
formation energy (no corrections) = -1232.4 meV per atom

22.
# AsPb2Au

A geometry-optimized AsPb2Au structure (PBE-GGA, Alexandria).

a b c (Å): 4.2107 4.2203 6.0467
angles (deg): 90.00 90.15 90.00
Space group P2/m (No. 10)
Asymmetric unit:
1 As 0.0000 0.0000 0.0000 x1
2 Pb 0.0000 0.0000 0.5000 x1
3 Pb 0.5000 0.5000 0.0000 x1
4 Au 0.5000 0.5000 0.5000 x1

Values from the calculation:
E_tot = -3.819 eV/atom
ΔH_f (0 K) = 2 kJ per mole of atoms
total magnetic moment = 0.0 μB per formula unit

23.
# La7Al2Cu2

A geometry-optimized La7Al2Cu2 structure (PBE-GGA, Alexandria).

a b c (Å): 8.2470 11.3441 7.1583
angles (deg): 90.00 90.00 90.00
Space group Cmmm (No. 65)
Asymmetric unit:
1 La 0.0000 0.0000 0.0000 x2
2 La 0.0000 0.5000 0.2735 x4
3 La 0.2500 0.2500 0.2807 x8
4 Al 0.1564 0.0000 0.5000 x4
5 Cu 0.0000 0.2897 0.0000 x4

Values from the calculation:
E_tot = -4.606 eV/atom
ΔH_f (0 K) = -4 kJ per mole of atoms
total magnetic moment = 0.0 μB per formula unit

24.
# LiEuLuGa

A geometry-optimized LiEuLuGa structure (PBE-GGA, Alexandria).

a b c (Å): 7.3334 7.3334 7.3334
angles (deg): 90.00 90.00 90.00
Space group F-43m (No. 216)
Asymmetric unit:
1 Li 0.0000 0.0000 0.0000 x4
2 Eu 0.2500 0.2500 0.7500 x4
3 Lu 0.2500 0.2500 0.2500 x4
4 Ga 0.0000 0.0000 0.5000 x4

Values from the calculation:
E_tot = -5.153 eV/atom
ΔH_f (0 K) = -21 kJ per mole of atoms
total magnetic moment = 7.1 μB per formula unit

25.
# BaTaOs2

A geometry-optimized BaTaOs2 structure (PBE-GGA, Alexandria).

a b c (Å): 6.8172 6.8172 6.8172
angles (deg): 90.00 90.00 90.00
Space group Fm-3m (No. 225)
Asymmetric unit:
1 Ba 0.0000 0.0000 0.0000 x4
2 Ta 0.0000 0.0000 0.5000 x4
3 Os 0.2500 0.2500 0.2500 x8

Values from the calculation:
E_tot = -8.002 eV/atom
ΔH_f (0 K) = 102 kJ per mole of atoms
total magnetic moment = 0.0 μB per formula unit
excess energy over the best structure of this formula in the dataset = 0.704 eV per atom

26.
# Hf2TaSi

A geometry-optimized Hf2TaSi structure (PBE-GGA, Alexandria).

a b c (Å): 3.1466 3.1466 27.2436
angles (deg): 90.00 90.00 120.00
Space group R-3m (No. 166, hexagonal axes)
Asymmetric unit:
1 Hf 0.0000 0.0000 0.2452 x6
2 Ta 0.0000 0.0000 0.0000 x3
3 Si 0.0000 0.0000 0.5000 x3

Values from the calculation:
E_tot = -9.338 eV/atom
total magnetic moment = 0.0 μB per formula unit
formation energy (no corrections) = -42.1 meV per atom